# 1
Here is Al2Mo after structural relaxation from Alexandria via LeMat-Bulk. Energies are from GGA-PBE.

abc: 5.7480 5.7480 6.9734
angles: 68.10 68.10 27.29
Last column: nearest neighbours and their distance in Å.
Atoms (fractional coordinates):
Al 0.8232 0.8232 0.6749  3 Mo 2.70-2.73, 7 Al 2.71-2.99
Al 0.4485 0.4485 0.3073  7 Al 2.71-2.99, 4 Mo 2.77-2.78
Al 0.5515 0.5515 0.6927  7 Al 2.71-2.99, 4 Mo 2.77-2.78
Al 0.1768 0.1768 0.3251  3 Mo 2.70-2.73, 7 Al 2.71-2.99
Mo 0.1285 0.1285 0.9748  7 Al 2.70-2.78, 3 Mo 2.71-2.75
Mo 0.8715 0.8715 0.0252  7 Al 2.70-2.78, 3 Mo 2.71-2.75

Formation energy (eV per atom): -0.041
Total magnetic moment (μB/atom): 0.000
Total energy (eV/cell): -36.88
Density of states at the Fermi level (states/eV/f.u.): 1.59


# 2
Here is Fe4AgW after structural relaxation from Alexandria via LeMat-Bulk. Energies are from GGA-PBE.

abc: 4.7714 4.7714 4.7714
angles: 60.00 60.00 60.00
Last column: nearest neighbours and their distance in Å.
Atoms (fractional coordinates):
Fe 0.8755 0.3748 0.3748  6 Fe 2.38-2.39
Fe 0.3748 0.3748 0.8755  6 Fe 2.38-2.39
Fe 0.3748 0.8755 0.3748  6 Fe 2.38-2.39
Fe 0.3748 0.3748 0.3748  6 Fe 2.38-2.39
Ag 0.0000 0.0000 0.0000  12 Fe 2.80, 4 W 2.92
W 0.7500 0.7500 0.7500  12 Fe 2.80, 4 Ag 2.92

Formation energy (eV per atom): 0.189
Total magnetic moment (μB/atom): 1.101
Total energy (eV/cell): -48.52
Density of states at the Fermi level (states/eV/f.u.): 4.09


# 3
Here is CrPtS4 after structural relaxation from Alexandria via LeMat-Bulk. Energies are from GGA-PBE.

abc: 3.5230 6.0378 6.3312
angles: 119.15 106.15 90.00
Last column: nearest neighbours and their distance in Å.
Atoms (fractional coordinates):
Cr 0.0000 0.0000 0.0000  6 S 2.38
Pt 0.5000 0.5000 0.0000  6 S 2.40-2.41
S 0.6214 0.2851 0.2428  2 Cr 2.38, 1 Pt 2.41
S 0.8783 0.2087 0.7566  1 Cr 2.38, 2 Pt 2.40
S 0.3786 0.7149 0.7572  2 Cr 2.38, 1 Pt 2.41
S 0.1217 0.7913 0.2434  1 Cr 2.38, 2 Pt 2.40

Total magnetic moment (μB/atom): 0.387
Total energy (eV/cell): -34.54
Density of states at the Fermi level (states/eV/f.u.): 3.02
ΔE_f (raw) (eV per atom): -0.395


# 4
Here is Tl12Cd3Bi5 after structural relaxation from Alexandria via LeMat-Bulk. Energies are from GGA-PBE.

abc: 15.7459 15.7459 15.7459
angles: 109.47 109.47 109.47
Last column: nearest neighbours and their distance in Å.
Atoms (fractional coordinates):
Cd 0.7500 0.3750 0.1250  4 Tl 3.03
Cd 0.8750 0.7500 0.1250  4 Tl 3.03
Cd 0.3750 0.7500 0.6250  4 Tl 3.03
Cd 0.2500 0.1250 0.3750  4 Tl 3.03
Cd 0.8750 0.1250 0.2500  4 Tl 3.03
Cd 0.3750 0.6250 0.2500  4 Tl 3.03
Cd 0.6250 0.3750 0.7500  4 Tl 3.03
Cd 0.1250 0.8750 0.7500  4 Tl 3.03
Cd 0.7500 0.8750 0.6250  4 Tl 3.03
Cd 0.6250 0.2500 0.3750  4 Tl 3.03
Cd 0.1250 0.2500 0.8750  4 Tl 3.03
Cd 0.2500 0.6250 0.8750  4 Tl 3.03
Bi 0.1250 0.3750 0.2500  4 Tl 3.06
Bi 0.0000 0.5000 0.0000  6 Tl 3.16
Bi 0.0000 0.0000 0.0000  6 Tl 3.16
Bi 0.3750 0.2500 0.1250  4 Tl 3.06
Bi 0.5000 0.0000 0.5000  6 Tl 3.16
Bi 0.5000 0.5000 0.0000  6 Tl 3.16
Bi 0.1250 0.7500 0.3750  4 Tl 3.06
Bi 0.7500 0.1250 0.8750  4 Tl 3.06
Bi 0.7500 0.6250 0.3750  4 Tl 3.06
Bi 0.3750 0.1250 0.7500  4 Tl 3.06
Bi 0.6250 0.8750 0.2500  4 Tl 3.06
Bi 0.5000 0.5000 0.5000  6 Tl 3.16
Bi 0.5000 0.0000 0.0000  6 Tl 3.16
Bi 0.0000 0.0000 0.5000  6 Tl 3.16
Bi 0.2500 0.3750 0.6250  4 Tl 3.06
Bi 0.2500 0.8750 0.1250  4 Tl 3.06
Bi 0.0000 0.5000 0.5000  6 Tl 3.16
Bi 0.8750 0.2500 0.6250  4 Tl 3.06
Bi 0.6250 0.7500 0.8750  4 Tl 3.06
Bi 0.8750 0.6250 0.7500  4 Tl 3.06
Tl 0.7355 0.1270 0.0643  1 Cd 3.03, 2 Bi 3.06-3.16
Tl 0.3288 0.5643 0.4373  1 Cd 3.03, 2 Bi 3.06-3.16
Tl 0.9357 0.3730 0.2645  1 Cd 3.03, 2 Bi 3.06-3.16
Tl 0.5643 0.2355 0.1270  1 Cd 3.03, 2 Bi 3.06-3.16
Tl 0.6085 0.7355 0.6712  1 Cd 3.03, 2 Bi 3.06-3.16
Tl 0.9357 0.5627 0.1712  1 Cd 3.03, 2 Bi 3.06-3.16
Tl 0.3288 0.7645 0.3915  1 Cd 3.03, 2 Bi 3.06-3.16
Tl 0.0627 0.8915 0.1270  1 Cd 3.03, 2 Bi 3.06-3.16
Tl 0.5627 0.9357 0.6712  1 Cd 3.03, 2 Bi 3.06-3.16
Tl 0.7355 0.6085 0.1712  1 Cd 3.03, 2 Bi 3.06-3.16
Tl 0.7645 0.4357 0.3730  1 Cd 3.03, 2 Bi 3.06-3.16
Tl 0.8288 0.9373 0.0643  1 Cd 3.03, 2 Bi 3.06-3.16
Tl 0.1270 0.7355 0.5643  1 Cd 3.03, 2 Bi 3.06-3.16
Tl 0.3730 0.4373 0.1085  1 Cd 3.03, 2 Bi 3.06-3.16
Tl 0.1085 0.9373 0.3730  1 Cd 3.03, 2 Bi 3.06-3.16
Tl 0.3915 0.1270 0.5627  1 Cd 3.03, 2 Bi 3.06-3.16
Tl 0.1085 0.1712 0.2355  1 Cd 3.03, 2 Bi 3.06-3.16
Tl 0.4357 0.6712 0.0627  1 Cd 3.03, 2 Bi 3.06-3.16
Tl 0.8288 0.8915 0.2645  1 Cd 3.03, 2 Bi 3.06-3.16
Tl 0.1270 0.3915 0.0627  1 Cd 3.03, 2 Bi 3.06-3.16
Tl 0.3730 0.9357 0.7645  1 Cd 3.03, 2 Bi 3.06-3.16
Tl 0.5627 0.6270 0.3915  1 Cd 3.03, 2 Bi 3.06-3.16
Tl 0.9373 0.8288 0.5643  1 Cd 3.03, 2 Bi 3.06-3.16
Tl 0.7645 0.3288 0.8915  1 Cd 3.03, 2 Bi 3.06-3.16
Tl 0.4373 0.3730 0.6085  1 Cd 3.03, 2 Bi 3.06-3.16
Tl 0.0627 0.1712 0.4357  1 Cd 3.03, 2 Bi 3.06-3.16
Tl 0.2355 0.6712 0.1085  1 Cd 3.03, 2 Bi 3.06-3.16
Tl 0.1712 0.1085 0.7355  1 Cd 3.03, 2 Bi 3.06-3.16
Tl 0.6270 0.0643 0.2355  1 Cd 3.03, 2 Bi 3.06-3.16
Tl 0.8730 0.6085 0.9373  1 Cd 3.03, 2 Bi 3.06-3.16
Tl 0.5643 0.3288 0.9373  1 Cd 3.03, 2 Bi 3.06-3.16
Tl 0.6085 0.8730 0.4373  1 Cd 3.03, 2 Bi 3.06-3.16
Tl 0.8915 0.8288 0.7645  1 Cd 3.03, 2 Bi 3.06-3.16
Tl 0.8915 0.0627 0.6270  1 Cd 3.03, 2 Bi 3.06-3.16
Tl 0.8730 0.2645 0.4357  1 Cd 3.03, 2 Bi 3.06-3.16
Tl 0.1712 0.0627 0.9357  1 Cd 3.03, 2 Bi 3.06-3.16
Tl 0.6270 0.5627 0.8915  1 Cd 3.03, 2 Bi 3.06-3.16
Tl 0.4373 0.0643 0.3288  1 Cd 3.03, 2 Bi 3.06-3.16
Tl 0.2645 0.3915 0.8288  1 Cd 3.03, 2 Bi 3.06-3.16
Tl 0.2355 0.5643 0.6270  1 Cd 3.03, 2 Bi 3.06-3.16
Tl 0.9373 0.1085 0.8730  1 Cd 3.03, 2 Bi 3.06-3.16
Tl 0.6712 0.2355 0.6085  1 Cd 3.03, 2 Bi 3.06-3.16
Tl 0.4357 0.7645 0.8730  1 Cd 3.03, 2 Bi 3.06-3.16
Tl 0.0643 0.4373 0.8288  1 Cd 3.03, 2 Bi 3.06-3.16
Tl 0.3915 0.2645 0.3288  1 Cd 3.03, 2 Bi 3.06-3.16
Tl 0.0643 0.6270 0.7355  1 Cd 3.03, 2 Bi 3.06-3.16
Tl 0.6712 0.4357 0.5627  1 Cd 3.03, 2 Bi 3.06-3.16
Tl 0.2645 0.8730 0.9357  1 Cd 3.03, 2 Bi 3.06-3.16

Formation energy (eV per atom): 0.165
Total magnetic moment (μB/atom): 0.000
Total energy (eV/cell): -188.96
Density of states at the Fermi level (states/eV/f.u.): 8.41


# 5
Here is Tb4TmAl5 after structural relaxation from Alexandria via LeMat-Bulk. Energies are from GGA-PBE.

abc: 3.5900 3.5900 18.1328
angles: 90.00 90.00 90.00
Last column: nearest neighbours and their distance in Å.
Atoms (fractional coordinates):
Tb 0.0000 0.0000 0.1970  8 Al 3.13-3.14
Tb 0.0000 0.0000 0.3990  8 Al 3.13
Tb 0.0000 0.0000 0.6010  8 Al 3.13
Tb 0.0000 0.0000 0.8030  8 Al 3.13-3.14
Tm 0.0000 0.0000 0.0000  8 Al 3.07
Al 0.5000 0.5000 0.0953  4 Tm 3.07, 4 Tb 3.14
Al 0.5000 0.5000 0.2981  8 Tb 3.13
Al 0.5000 0.5000 0.5000  8 Tb 3.13
Al 0.5000 0.5000 0.7019  8 Tb 3.13
Al 0.5000 0.5000 0.9047  4 Tm 3.07, 4 Tb 3.14

Formation energy (eV per atom): -0.393
Total magnetic moment (μB/atom): 0.000
Total energy (eV/cell): -45.64
Density of states at the Fermi level (states/eV/f.u.): 4.66


# 6
Here is Be2VOsI after structural relaxation from Alexandria via LeMat-Bulk. Energies are from GGA-PBE.

abc: 4.1908 5.3174 4.1908
angles: 90.00 90.00 90.00
Last column: nearest neighbours and their distance in Å.
Atoms (fractional coordinates):
I 0.0000 0.5000 0.0000  2 Os 2.66, 4 V 2.96
Be 0.0000 0.0000 0.5000  2 Os 2.10
Be 0.5000 0.0000 0.0000  2 Os 2.10
Os 0.0000 0.0000 0.0000  4 Be 2.10
V 0.5000 0.5000 0.5000  4 I 2.96

Total magnetic moment (μB/atom): 0.079
Total energy (eV/cell): -22.59
Density of states at the Fermi level (states/eV/f.u.): 6.56
ΔE_f (raw) (eV per atom): 1.352


# 7
Here is MgBeGa2Au5 after structural relaxation from Alexandria via LeMat-Bulk. Energies are from GGA-PBE.

abc: 4.4580 5.6704 7.7000
angles: 111.61 106.83 90.00
Last column: nearest neighbours and their distance in Å.
Atoms (fractional coordinates):
Mg 0.0000 0.5000 0.0000  2 Au 2.84
Be 0.5000 0.0000 0.0000  6 Au 2.23-2.34
Ga 0.1989 0.1989 0.3979  7 Au 2.66-2.81
Ga 0.8011 0.8011 0.6021  7 Au 2.66-2.81
Au 0.6339 0.8759 0.2677  1 Be 2.34
Au 0.3661 0.1241 0.7323  1 Be 2.34
Au 0.3661 0.6082 0.7323  1 Be 2.34
Au 0.6339 0.3918 0.2677  1 Be 2.34
Au 0.0000 0.0000 0.0000  2 Be 2.23

Formation energy (eV per atom): -0.155
Total magnetic moment (μB/atom): 0.000
Total energy (eV/cell): -29.15
Density of states at the Fermi level (states/eV/f.u.): 2.53


# 8
Here is Ce2CuSi after structural relaxation from Alexandria via LeMat-Bulk. Energies are from GGA-PBE.

abc: 4.1827 4.4575 4.4575
angles: 90.00 90.00 90.00
Last column: nearest neighbours and their distance in Å.
Atoms (fractional coordinates):
Si 0.5000 0.0000 0.0000  8 Ce 3.06, 4 Cu 3.15
Cu 0.5000 0.5000 0.5000  8 Ce 3.06, 4 Si 3.15
Ce 0.0000 0.0000 0.5000  4 Cu 3.06, 4 Si 3.06, 4 Ce 3.15
Ce 0.0000 0.5000 0.0000  4 Cu 3.06, 4 Si 3.06, 4 Ce 3.15

Total magnetic moment (μB/atom): 0.000
Total energy (eV/cell): -22.59
Density of states at the Fermi level (states/eV/f.u.): 6.28
ΔE_f (raw) (eV per atom): -0.300


# 9
Here is Pr2Nd6In after structural relaxation from Alexandria via LeMat-Bulk. Energies are from GGA-PBE.

abc: 11.6914 6.3198 11.6914
angles: 105.67 47.66 105.67
Last column: nearest neighbours and their distance in Å.
Atoms (fractional coordinates):
Pr 0.1701 0.5526 0.3298  3 Pr 3.28-3.50, 3 Nd 3.57-3.67
Pr 0.6702 0.9474 0.8299  3 Pr 3.28-3.50, 3 Nd 3.57-3.67
Pr 0.8299 0.4474 0.6702  3 Pr 3.28-3.50, 3 Nd 3.57-3.67
Pr 0.3298 0.0526 0.1701  3 Pr 3.28-3.50, 3 Nd 3.57-3.67
Nd 0.3521 0.5698 0.4967  6 Nd 3.36-3.63, 2 In 3.38-3.48, 1 Pr 3.70
Nd 0.5033 0.9302 0.6479  6 Nd 3.36-3.63, 2 In 3.38-3.48, 1 Pr 3.70
Nd 0.6479 0.4302 0.5033  6 Nd 3.36-3.63, 2 In 3.38-3.48, 1 Pr 3.70
Nd 0.4967 0.0698 0.3521  6 Nd 3.36-3.63, 2 In 3.38-3.48, 1 Pr 3.70
Nd 0.0837 0.0842 0.5840  1 In 3.40, 5 Nd 3.43-3.63, 4 Pr 3.57-3.68
Nd 0.4160 0.4158 0.9163  1 In 3.40, 5 Nd 3.43-3.63, 4 Pr 3.57-3.68
Nd 0.9163 0.9158 0.4160  1 In 3.40, 5 Nd 3.43-3.63, 4 Pr 3.57-3.68
Nd 0.5840 0.5842 0.0837  1 In 3.40, 5 Nd 3.43-3.63, 4 Pr 3.57-3.68
Nd 0.1475 0.7202 0.0037  6 Nd 3.36-3.62, 2 In 3.38-3.48, 1 Pr 3.70
Nd 0.9963 0.7798 0.8525  6 Nd 3.36-3.62, 2 In 3.38-3.48, 1 Pr 3.70
Nd 0.8525 0.2798 0.9963  6 Nd 3.36-3.62, 2 In 3.38-3.48, 1 Pr 3.70
Nd 0.0037 0.2202 0.1475  6 Nd 3.36-3.62, 2 In 3.38-3.48, 1 Pr 3.70
In 0.7498 0.7500 0.2502  10 Nd 3.38-3.48
In 0.2502 0.2500 0.7498  10 Nd 3.38-3.48

Formation energy (eV per atom): -0.046
E above lowest polymorph (meV per atom): 23.8
Total magnetic moment (μB/atom): 0.000
Total energy (eV/cell): -82.64
Density of states at the Fermi level (states/eV/f.u.): 10.85


# 10
Here is LiB2C2 after structural relaxation from Alexandria via LeMat-Bulk. Energies are from GGA-PBE.

abc: 8.5236 8.6657 2.7304
angles: 90.00 90.00 115.29
Last column: nearest neighbours and their distance in Å.
Atoms (fractional coordinates):
C 0.5566 0.7652 0.0000  3 B 1.54-1.57
C 0.4434 0.2348 0.0000  3 B 1.54-1.57
C 0.0349 0.2968 0.0000  3 B 1.56-1.59
C 0.9651 0.7032 0.0000  3 B 1.56-1.59
C 0.2848 0.5487 0.5000  3 B 1.54-1.59
C 0.2172 0.9601 0.5000  3 B 1.57-1.58
C 0.7828 0.0399 0.5000  3 B 1.57-1.58
C 0.7152 0.4513 0.5000  3 B 1.54-1.59
B 0.2972 0.0478 0.0000  3 C 1.57
B 0.7028 0.9522 0.0000  3 C 1.57
B 0.7923 0.5310 0.0000  3 C 1.54-1.59
B 0.2077 0.4690 0.0000  3 C 1.54-1.59
B 0.0456 0.7880 0.5000  3 C 1.56-1.58
B 0.4807 0.6878 0.5000  3 C 1.54-1.59
B 0.5193 0.3122 0.5000  3 C 1.54-1.59
B 0.9544 0.2120 0.5000  3 C 1.56-1.58
Li 0.0000 0.5000 0.5000  6 C 2.28-2.35, 6 B 2.34-2.36
Li 0.2814 0.7720 0.0000  6 B 2.34-2.52, 6 C 2.36-2.50
Li 0.0000 0.0000 0.0000  6 B 2.39-2.45, 6 C 2.44-2.46
Li 0.7186 0.2280 0.0000  6 B 2.34-2.52, 6 C 2.36-2.50

Formation energy (eV per atom): -0.019
E above lowest polymorph (meV per atom): 50.8
Total magnetic moment (μB/atom): 0.000
Total energy (eV/cell): -135.24
Density of states at the Fermi level (states/eV/f.u.): 0.86


- Which value of total energy does entry 8 give?
  -22.59 eV/cell


- total magnetic moment of number 8 (Ce2CuSi)?
  0.000 μB/atom


Repeat the fifth record exactly.
Here is Tb4TmAl5 after structural relaxation from Alexandria via LeMat-Bulk. Energies are from GGA-PBE.

abc: 3.5900 3.5900 18.1328
angles: 90.00 90.00 90.00
Last column: nearest neighbours and their distance in Å.
Atoms (fractional coordinates):
Tb 0.0000 0.0000 0.1970  8 Al 3.13-3.14
Tb 0.0000 0.0000 0.3990  8 Al 3.13
Tb 0.0000 0.0000 0.6010  8 Al 3.13
Tb 0.0000 0.0000 0.8030  8 Al 3.13-3.14
Tm 0.0000 0.0000 0.0000  8 Al 3.07
Al 0.5000 0.5000 0.0953  4 Tm 3.07, 4 Tb 3.14
Al 0.5000 0.5000 0.2981  8 Tb 3.13
Al 0.5000 0.5000 0.5000  8 Tb 3.13
Al 0.5000 0.5000 0.7019  8 Tb 3.13
Al 0.5000 0.5000 0.9047  4 Tm 3.07, 4 Tb 3.14

Formation energy (eV per atom): -0.393
Total magnetic moment (μB/atom): 0.000
Total energy (eV/cell): -45.64
Density of states at the Fermi level (states/eV/f.u.): 4.66